[1]
A relaxed NdNbSi2Os crystal, computed with PBE.

## Properties
* V: 18.43 Å³/atom
* magnetic moment: 0.0 μB/f.u.
* ΔE_f (raw): -0.599 eV per atom

Cell: 4.0809 4.0809 6.2418 Å, 109.08 109.08 90.00°
Positions (direct):
Nd 0.0000 0.0000 0.0000
Si 0.6120 0.6120 0.2241
Si 0.3880 0.3880 0.7759
Os 0.7500 0.2500 0.5000
Nb 0.2500 0.7500 0.5000


[2]
A relaxed TaAlCo6 crystal, computed with PBE.

## Properties
* V: 11.80 Å³/atom
* ΔE_f: -0.20 eV/atom
* magnetic moment: 5.6 μB/f.u.

Cell: 6.2651 6.2651 10.2241 Å, 90.00 90.00 109.73°
Each line ends with the local moment (μB).
Positions (direct):
Ta 0.0000 0.0000 0.9986  -0.31
Ta 0.7554 0.2446 0.2500  -0.27
Ta 0.2446 0.7554 0.2500  -0.27
Ta 0.0000 0.0000 0.5014  -0.31
Co 0.8689 0.6163 0.8724  1.20
Co 0.1310 0.3781 0.3770  0.85
Co 0.1311 0.3837 0.6276  1.20
Co 0.7480 0.2520 0.9958  1.04
Co 0.7480 0.2520 0.5042  1.04
Co 0.3837 0.1311 0.8724  1.20
Co 0.6219 0.8690 0.3770  0.85
Co 0.0000 0.0000 0.7500  0.89
Co 0.8690 0.6219 0.3770  0.85
Co 0.0000 0.0000 0.2500  0.58
Co 0.5000 0.5000 0.7500  1.47
Co 0.8689 0.6163 0.6276  1.20
Co 0.1311 0.3837 0.8724  1.20
Co 0.6219 0.8690 0.1230  0.85
Co 0.1310 0.3781 0.1230  0.85
Co 0.3837 0.1311 0.6276  1.20
Co 0.2520 0.7480 0.5042  1.04
Co 0.6163 0.8689 0.8724  1.20
Co 0.2520 0.7480 0.9958  1.04
Co 0.3781 0.1310 0.3770  0.85
Co 0.6163 0.8689 0.6276  1.20
Co 0.8690 0.6219 0.1230  0.85
Co 0.3781 0.1310 0.1230  0.85
Co 0.5000 0.5000 0.2500  1.11
Al 0.7581 0.2419 0.7500  -0.04
Al 0.2419 0.7581 0.7500  -0.04
Al 0.5000 0.5000 0.0010  -0.04
Al 0.5000 0.5000 0.4990  -0.04


[3]
A relaxed PmGa6Fe6 crystal, computed with PBE.

## Properties
* V: 14.41 Å³/atom
* ΔE_f: -0.29 eV/atom
* magnetic moment: 11.0 μB/f.u.

Cell: 5.0411 6.5969 6.5969 Å, 80.81 67.54 67.54°
Each line ends with the local moment (μB).
Positions (direct):
Fe 0.5000 0.5000 0.0000  1.94
Fe 0.5000 0.7564 0.2436  1.99
Fe 0.0000 0.0000 0.5000  1.94
Fe 0.0000 0.5000 0.0000  1.94
Fe 0.5000 0.2436 0.7564  1.99
Fe 0.5000 0.0000 0.5000  1.94
Ga 0.6540 0.3460 0.3460  -0.07
Ga 0.3460 0.6540 0.6540  -0.07
Ga 0.3119 0.1881 0.1881  -0.08
Ga 0.0000 0.3356 0.6644  -0.06
Ga 0.6881 0.8119 0.8119  -0.08
Ga 0.0000 0.6644 0.3356  -0.06
Pm 0.0000 0.0000 0.0000  -0.15


[4]
A relaxed Nd2Y2Ho7 crystal, computed with PBE.

## Properties
* V: 32.83 Å³/atom
* ΔE_f: 0.15 eV/atom
* magnetic moment: 0.0 μB/f.u.

Cell: 6.0926 8.0568 8.0568 Å, 91.06 73.43 73.43°
Positions (direct):
Ho 0.4228 0.2318 0.2318
Ho 0.8220 0.9373 0.4113
Ho 0.8220 0.4113 0.9373
Ho 0.1780 0.0627 0.5887
Ho 0.0000 0.0000 0.0000
Ho 0.5772 0.7682 0.7682
Ho 0.1780 0.5887 0.0627
Y 0.5000 0.2119 0.7881
Y 0.5000 0.7881 0.2119
Nd 0.8078 0.4073 0.4073
Nd 0.1922 0.5927 0.5927


[5]
A relaxed Li2Ga4Ir3 crystal, computed with PBE.

## Properties
* V: 14.12 Å³/atom
* ΔE_f: -0.45 eV/atom
* magnetic moment: 0.0 μB/f.u.

Cell: 5.1695 7.2829 6.8973 Å, 98.97 97.71 89.83°
Positions (direct):
Ga 0.4329 0.1784 0.4578
Ga 0.8061 0.5860 0.1138
Ga 0.5671 0.8216 0.5422
Ga 0.7898 0.0578 0.8954
Ga 0.9391 0.1879 0.5156
Ga 0.2102 0.9422 0.1046
Ga 0.1939 0.4140 0.8862
Ga 0.0609 0.8121 0.4844
Li 0.7418 0.4986 0.4583
Li 0.4623 0.7230 0.8733
Li 0.2582 0.5014 0.5417
Li 0.5377 0.2770 0.1267
Ir 0.0575 0.2776 0.1978
Ir 0.7167 0.9405 0.2303
Ir 0.6772 0.3629 0.7797
Ir 0.2833 0.0595 0.7697
Ir 0.9425 0.7224 0.8022
Ir 0.3228 0.6371 0.2203


[6]
A relaxed ErCd12 crystal, computed with PBE.

## Properties
* V: 22.70 Å³/atom
* ΔE_f: -0.05 eV/atom
* magnetic moment: 0.0 μB/f.u.

Cell: 6.0057 7.6260 7.6260 Å, 81.08 66.81 66.81°
Positions (direct):
Er 0.0000 0.0000 0.0000
Cd 0.3493 0.6507 0.6507
Cd 0.5000 0.2122 0.7878
Cd 0.7122 0.7878 0.7878
Cd 0.0000 0.5000 0.0000
Cd 0.5000 0.7878 0.2122
Cd 0.6507 0.3493 0.3493
Cd 0.0000 0.6507 0.3493
Cd 0.5000 0.5000 0.0000
Cd 0.0000 0.3493 0.6507
Cd 0.2878 0.2122 0.2122
Cd 0.5000 0.0000 0.5000
Cd 0.0000 0.0000 0.5000


[7]
A relaxed BaLaI2N crystal, computed with PBE.

## Properties
* V: 37.91 Å³/atom
* magnetic moment: 0.2 μB/f.u.
* ΔE_f (raw): -1.353 eV per atom

Cell: 4.4859 4.4859 18.8392 Å, 90.00 90.00 90.00°
Each line ends with the local moment (μB).
Positions (direct):
Ba 0.0000 0.5000 0.8523  0.00
Ba 0.5000 0.0000 0.1477  0.00
I 0.5000 0.0000 0.3183  0.00
I 0.5000 0.0000 0.9206  0.00
I 0.0000 0.5000 0.0794  0.00
I 0.0000 0.5000 0.6817  0.00
La 0.5000 0.0000 0.5517  -0.01
La 0.0000 0.5000 0.4483  -0.01
N 0.0000 0.0000 0.5000  -0.17
N 0.5000 0.5000 0.5000  -0.17


[8]
A relaxed AlSe2I crystal, computed with PBE.

## Properties
* V: 30.72 Å³/atom
* magnetic moment: 0.0 μB/f.u.
* ΔE_f (raw): -0.140 eV per atom

Cell: 7.0817 7.0817 7.0061 Å, 59.64 59.64 90.00°
Positions (direct):
Se 0.5366 0.1250 0.2500
Se 0.3750 0.4634 0.7500
Se 0.2134 0.6250 0.2500
Se 0.8750 0.7866 0.7500
I 0.0000 0.0000 0.0000
I 0.7500 0.2500 0.5000
Al 0.2500 0.7500 0.5000
Al 0.5000 0.5000 0.0000


[9]
A relaxed Li2ScAg2 crystal, computed with PBE.

## Properties
* V: 18.01 Å³/atom
* ΔE_f: -0.16 eV/atom
* magnetic moment: 0.0 μB/f.u.

Cell: 3.0746 3.7967 7.9436 Å, 76.17 90.00 90.00°
Positions (direct):
Sc 0.0000 0.0000 0.0000
Ag 0.5000 0.3897 0.2205
Ag 0.5000 0.6103 0.7795
Li 0.0000 0.8040 0.3919
Li 0.0000 0.1960 0.6081


[10]
A relaxed Na2SrZrBi crystal, computed with PBE.

## Properties
* V: 38.96 Å³/atom
* ΔE_f: 0.38 eV/atom
* magnetic moment: 1.1 μB/f.u.

Cell: 5.8650 5.6627 5.8650 Å, 90.00 90.00 90.00°
Each line ends with the local moment (μB).
Positions (direct):
Zr 0.0000 0.0000 0.0000  0.66
Na 0.5000 0.0000 0.0000  0.02
Na 0.0000 0.0000 0.5000  0.00
Bi 0.0000 0.5000 0.0000  -0.05
Sr 0.5000 0.5000 0.5000  0.00


[11]
A relaxed Ba2GdReO6 crystal, computed with PBE.

## Properties
* V: 15.48 Å³/atom
* magnetic moment: 5.0 μB/f.u.
* ΔE_f (raw): -2.588 eV per atom

Cell: 6.0275 6.0275 6.0275 Å, 60.00 60.00 60.00°
Each line ends with the local moment (μB).
Positions (direct):
O 0.7669 0.7669 0.2331  -0.03
O 0.2331 0.7669 0.2331  -0.03
O 0.2331 0.7669 0.7669  -0.03
O 0.7669 0.2331 0.2331  -0.03
O 0.7669 0.2331 0.7669  -0.03
O 0.2331 0.2331 0.7669  -0.03
Re 0.0000 0.0000 0.0000  -1.35
Ba 0.2500 0.2500 0.2500  -0.02
Ba 0.7500 0.7500 0.7500  -0.02
Gd 0.5000 0.5000 0.5000  6.81